Record 1
{"formula": "PrNd5Y8", "functional": "PBE", "state": "optimized geometry", "formation_enthalpy_0k_ev_per_fu": 3.1, "cell": [[-5.170, -4.689, 4.953], [-1.031, -1.936, -8.272], [7.963, -1.720, 2.621]], "species": ["Pr", "Nd", "Y", "Y", "Y", "Y", "Y", "Nd", "Nd", "Nd", "Y", "Y", "Nd", "Y"], "frac_coords": [[0.250, 0.500, 0.750], [0.034, 0.324, 0.138], [0.571, 0.907, 0.830], [0.673, 0.396, 0.924], [0.076, 0.749, 0.472], [0.922, 0.093, 0.663], [0.337, 0.259, 0.429], [0.814, 0.676, 0.710], [0.862, 0.896, 0.186], [0.500, 0.000, 0.500], [0.723, 0.251, 0.327], [0.528, 0.604, 0.277], [0.290, 0.104, 0.966], [0.170, 0.741, 0.078]]}


Record 2
{"formula": "AlTc3Pd", "functional": "PBE", "state": "optimized geometry", "de_polymorph_mev_per_atom": 0, "formation_enthalpy_0k_ev_per_fu": 6.9, "cell": [[-1.280, 2.235, 3.578], [-2.812, -3.240, 1.017], [3.145, -1.987, 2.367]], "species": ["Tc", "Tc", "Tc", "Pd", "Al"], "frac_coords": [[0.500, 0.000, 0.000], [0.000, 0.000, 0.500], [0.000, 0.500, 0.000], [0.500, 0.500, 0.500], [0.000, 0.000, 0.000]]}


Record 3
{"formula": "LiTc3", "functional": "PBE", "state": "optimized geometry", "de_polymorph_mev_per_atom": 35, "formation_enthalpy_0k_ev_per_fu": 0.7, "cell": [[4.302, 0.000, 0.000], [0.000, 2.602, -0.017], [0.000, 0.837, 5.002]], "species": ["Tc", "Tc", "Li", "Tc"], "frac_coords": [[0.500, 0.273, 0.239], [0.000, 0.500, 0.500], [0.000, 0.000, 0.000], [0.500, 0.727, 0.761]]}


Copy entry 3 word for word.
{"formula": "LiTc3", "functional": "PBE", "state": "optimized geometry", "de_polymorph_mev_per_atom": 35, "formation_enthalpy_0k_ev_per_fu": 0.7, "cell": [[4.302, 0.000, 0.000], [0.000, 2.602, -0.017], [0.000, 0.837, 5.002]], "species": ["Tc", "Tc", "Li", "Tc"], "frac_coords": [[0.500, 0.273, 0.239], [0.000, 0.500, 0.500], [0.000, 0.000, 0.000], [0.500, 0.727, 0.761]]}